No. 1
## Ce4POs (GGA-PBE)

Data for a relaxed Ce4POs crystal.

abc: 8.389 8.044 6.805
angles: 68.21 62.92 48.87
Fractional positions:
Ce1 0.002 0.520 0.243
Ce2 0.243 0.735 0.002
Ce3 0.265 0.757 0.480
Ce4 0.480 0.998 0.265
Ce5 0.520 0.002 0.735
Ce6 0.735 0.243 0.520
Ce7 0.757 0.265 0.998
Ce8 0.998 0.480 0.757
P1 0.125 0.125 0.125
P2 0.875 0.875 0.875
Os1 0.375 0.375 0.375
Os2 0.625 0.625 0.625

Output
E_form: -2.70 eV/f.u.
calculated total energy: -43.08 eV per formula unit

No. 2
## BiPC2 (GGA-PBE)

Data for a relaxed BiPC2 crystal.

abc: 4.274 4.274 4.274
angles: 60.00 60.00 60.00
Fractional positions:
Bi1 0.000 0.000 0.000
P1 0.500 0.500 0.500
C1 0.250 0.250 0.250
C2 0.750 0.750 0.750

Output
E_form: 9.73 eV/f.u.
calculated total energy: -18.01 eV per formula unit

No. 3
## RbCrTc3 (GGA-PBE)

Data for a relaxed RbCrTc3 crystal.

abc: 4.574 4.574 4.574
angles: 90.00 90.00 90.00
Fractional positions:
Rb1 0.000 0.000 0.000
Cr1 0.500 0.500 0.500
Tc1 0.000 0.000 0.500
Tc2 0.000 0.500 0.000
Tc3 0.500 0.000 0.000

Output
E_form: 17.93 eV/f.u.
calculated total energy: -23.75 eV per formula unit

No. 4
## BeMoAs2 (GGA-PBE)

Data for a relaxed BeMoAs2 crystal.

abc: 3.235 3.235 6.696
angles: 90.00 90.00 90.00
Fractional positions:
Be1 0.000 0.000 0.000
Mo1 0.500 0.500 0.191
As1 0.000 0.000 0.369
As2 0.500 0.500 0.822

Output
E_form: 0.35 eV/f.u.
calculated total energy: -23.51 eV per formula unit

No. 5
## Tb12Nd5Y2 (GGA-PBE)

Data for a relaxed Tb12Nd5Y2 crystal.

abc: 10.068 10.068 8.745
angles: 113.35 113.35 54.10
Fractional positions:
Tb1 0.039 0.669 0.095
Tb2 0.045 0.045 0.184
Tb3 0.150 0.596 0.544
Tb4 0.331 0.961 0.905
Tb5 0.404 0.850 0.456
Tb6 0.438 0.438 0.282
Tb7 0.562 0.562 0.718
Tb8 0.596 0.150 0.544
Tb9 0.669 0.039 0.095
Tb10 0.850 0.404 0.456
Tb11 0.955 0.955 0.816
Tb12 0.961 0.331 0.905
Nd1 0.000 0.000 0.500
Nd2 0.236 0.236 0.292
Nd3 0.288 0.288 0.775
Nd4 0.712 0.712 0.225
Nd5 0.764 0.764 0.708
Y1 0.327 0.673 0.000
Y2 0.673 0.327 0.000

Output
E_form: 4.09 eV/f.u.
calculated total energy: -88.24 eV per formula unit

No. 6
## K4SrCl (GGA-PBE)

Data for a relaxed K4SrCl crystal.

abc: 8.114 8.114 8.114
angles: 60.00 60.00 60.00
Fractional positions:
K1 0.124 0.124 0.124
K2 0.124 0.124 0.627
K3 0.124 0.627 0.124
K4 0.627 0.124 0.124
Sr1 0.500 0.500 0.500
Cl1 0.750 0.750 0.750

Output
calculated total energy: -8.79 eV per formula unit
E_form (uncorrected): -3.35 kcal/mol of atoms

No. 7
## K5AgO3 (GGA-PBE)

Data for a relaxed K5AgO3 crystal.

abc: 6.972 6.972 9.813
angles: 98.93 98.93 75.67
Fractional positions:
K1 0.072 0.072 0.370
K2 0.162 0.535 0.295
K3 0.194 0.806 0.000
K4 0.276 0.276 0.929
K5 0.465 0.838 0.705
K6 0.535 0.162 0.295
K7 0.724 0.724 0.071
K8 0.806 0.194 0.000
K9 0.838 0.465 0.705
K10 0.928 0.928 0.630
Ag1 0.343 0.343 0.594
Ag2 0.657 0.657 0.406
O1 0.171 0.171 0.154
O2 0.173 0.173 0.652
O3 0.500 0.500 0.000
O4 0.500 0.500 0.500
O5 0.827 0.827 0.348
O6 0.829 0.829 0.846

Output
calculated total energy: -31.13 eV per formula unit
E_form (uncorrected): -20.29 kcal/mol of atoms

No. 8
## LaSiSb (GGA-PBE)

Data for a relaxed LaSiSb crystal.

abc: 4.965 4.965 4.965
angles: 60.00 60.00 60.00
Fractional positions:
La1 0.000 0.000 0.000
Si1 0.250 0.250 0.250
Sb1 0.500 0.500 0.500

Output
calculated total energy: -15.31 eV per formula unit
E_form (uncorrected): -6.46 kcal/mol of atoms

No. 9
## BaLiCd4Pb2 (GGA-PBE)

Data for a relaxed BaLiCd4Pb2 crystal.

abc: 9.839 9.839 9.839
angles: 31.07 31.07 31.07
Fractional positions:
Ba1 0.000 0.000 0.000
Li1 0.500 0.500 0.500
Cd1 0.134 0.134 0.134
Cd2 0.397 0.397 0.397
Cd3 0.603 0.603 0.603
Cd4 0.866 0.866 0.866
Pb1 0.245 0.245 0.245
Pb2 0.755 0.755 0.755

Output
E_form: -1.42 eV/f.u.
calculated total energy: -16.33 eV per formula unit

No. 10
## V2Ge2Te (GGA-PBE)

Data for a relaxed V2Ge2Te crystal.

abc: 7.116 7.116 7.116
angles: 150.74 150.74 41.86
Fractional positions:
V1 0.106 0.106 0.000
V2 0.894 0.894 0.000
Ge1 0.250 0.750 0.500
Ge2 0.750 0.250 0.500
Te1 0.500 0.500 0.000

Output
calculated total energy: -30.78 eV per formula unit
E_form (uncorrected): -0.75 kcal/mol of atoms

No. 11
## Pm3Pr4I2 (GGA-PBE)

Data for a relaxed Pm3Pr4I2 crystal.

abc: 3.828 3.828 25.256
angles: 90.00 90.00 120.00
Fractional positions:
Pm1 0.000 0.000 0.000
Pm2 0.000 0.000 0.336
Pm3 0.667 0.333 0.689
Pr1 0.000 0.000 0.571
Pr2 0.000 0.000 0.805
Pr3 0.667 0.333 0.221
Pr4 0.667 0.333 0.454
I1 0.667 0.333 0.090
I2 0.667 0.333 0.906

Output
calculated total energy: -39.55 eV per formula unit
E_form (uncorrected): -7.90 kcal/mol of atoms

No. 12
## Ac2Dy6Ho3 (GGA-PBE)

Data for a relaxed Ac2Dy6Ho3 crystal.

abc: 6.181 6.181 11.985
angles: 94.95 94.95 120.02
Fractional positions:
Ac1 0.167 0.833 0.000
Ac2 0.833 0.167 0.000
Dy1 0.080 0.413 0.739
Dy2 0.254 0.254 0.261
Dy3 0.413 0.080 0.739
Dy4 0.587 0.920 0.261
Dy5 0.746 0.746 0.739
Dy6 0.920 0.587 0.261
Ho1 0.000 0.000 0.500
Ho2 0.335 0.665 0.500
Ho3 0.665 0.335 0.500

Output
E_form: 2.08 eV/f.u.
calculated total energy: -47.48 eV per formula unit

No. 13
## AcNdSm5Dy2 (GGA-PBE)

Data for a relaxed AcNdSm5Dy2 crystal.

abc: 10.075 10.075 10.075
angles: 126.74 126.74 78.68
Fractional positions:
Ac1 0.250 0.250 0.000
Ac2 0.750 0.750 0.000
Nd1 0.250 0.750 0.500
Nd2 0.750 0.250 0.500
Sm1 0.000 0.000 0.000
Sm2 0.071 0.571 0.894
Sm3 0.177 0.071 0.500
Sm4 0.323 0.823 0.894
Sm5 0.429 0.323 0.500
Sm6 0.500 0.500 0.000
Sm7 0.571 0.677 0.500
Sm8 0.677 0.177 0.106
Sm9 0.823 0.929 0.500
Sm10 0.929 0.429 0.106
Dy1 0.115 0.385 0.500
Dy2 0.385 0.885 0.269
Dy3 0.615 0.115 0.731
Dy4 0.885 0.615 0.500

Output
E_form: 2.36 eV/f.u.
calculated total energy: -39.32 eV per formula unit

No. 14
## Si2SbPb (GGA-PBE)

Data for a relaxed Si2SbPb crystal.

abc: 5.599 5.599 5.599
angles: 139.97 120.60 74.05
Fractional positions:
Si1 0.227 0.227 0.000
Si2 0.773 0.773 0.000
Sb1 0.000 0.500 0.500
Pb1 0.500 0.000 0.500

Output
calculated total energy: -16.34 eV per formula unit
E_form (uncorrected): 13.47 kcal/mol of atoms

No. 15
## LaAlCd (GGA-PBE)

Data for a relaxed LaAlCd crystal.

abc: 4.849 4.849 7.757
angles: 90.00 90.00 120.00
Fractional positions:
La1 0.000 0.000 0.247
La2 0.000 0.000 0.753
Al1 0.333 0.667 0.035
Al2 0.667 0.333 0.965
Cd1 0.333 0.667 0.467
Cd2 0.667 0.333 0.533

Output
E_form: -1.12 eV/f.u.
calculated total energy: -10.71 eV per formula unit

No. 16
## CuSe2I (GGA-PBE)

Data for a relaxed CuSe2I crystal.

abc: 7.990 7.990 4.740
angles: 90.00 90.00 112.60
Fractional positions:
Cu1 0.195 0.195 0.000
Cu2 0.805 0.805 0.500
Se1 0.290 0.461 0.303
Se2 0.461 0.290 0.697
Se3 0.539 0.710 0.197
Se4 0.710 0.539 0.803
I1 0.123 0.877 0.750
I2 0.877 0.123 0.250

Output
calculated total energy: -12.76 eV per formula unit
E_form (uncorrected): -0.81 kcal/mol of atoms

No. 17
## ZrSc2Cr (GGA-PBE)

Data for a relaxed ZrSc2Cr crystal.

abc: 9.928 9.928 9.928
angles: 18.26 18.26 18.26
Fractional positions:
Zr1 0.000 0.000 0.000
Sc1 0.241 0.241 0.241
Sc2 0.759 0.759 0.759
Cr1 0.500 0.500 0.500

Output
E_form: 1.15 eV/f.u.
calculated total energy: -29.69 eV per formula unit

No. 18
## Ta5Zn4 (GGA-PBE)

Data for a relaxed Ta5Zn4 crystal.

abc: 6.429 6.429 6.429
angles: 95.59 95.59 143.63
Fractional positions:
Ta1 0.000 0.000 0.000
Ta2 0.331 0.331 0.661
Ta3 0.331 0.669 0.000
Ta4 0.669 0.331 0.000
Ta5 0.669 0.669 0.339
Zn1 0.000 0.337 0.337
Zn2 0.000 0.663 0.663
Zn3 0.337 0.000 0.337
Zn4 0.663 0.000 0.663

Output
E_form: 0.48 eV/f.u.
calculated total energy: -63.88 eV per formula unit

No. 19
## BaNiP2Ir (GGA-PBE)

Data for a relaxed BaNiP2Ir crystal.

abc: 6.307 6.307 8.976
angles: 98.65 98.65 36.78
Fractional positions:
Ba1 0.152 0.152 0.166
Ba2 0.848 0.848 0.834
Ni1 0.187 0.187 0.567
Ni2 0.813 0.813 0.433
P1 0.122 0.122 0.792
P2 0.370 0.370 0.553
P3 0.630 0.630 0.447
P4 0.878 0.878 0.208
Ir1 0.440 0.440 0.327
Ir2 0.560 0.560 0.673

Output
E_form: -3.65 eV/f.u.
calculated total energy: -31.04 eV per formula unit

No. 20
## BaPm2Tl9 (GGA-PBE)

Data for a relaxed BaPm2Tl9 crystal.

abc: 4.925 4.925 14.738
angles: 90.00 90.00 90.00
Fractional positions:
Ba1 0.000 0.000 0.000
Pm1 0.000 0.000 0.345
Pm2 0.000 0.000 0.655
Tl1 0.000 0.500 0.179
Tl2 0.000 0.500 0.500
Tl3 0.000 0.500 0.821
Tl4 0.500 0.000 0.179
Tl5 0.500 0.000 0.500
Tl6 0.500 0.000 0.821
Tl7 0.500 0.500 0.000
Tl8 0.500 0.500 0.335
Tl9 0.500 0.500 0.665

Output
E_form: -3.40 eV/f.u.
calculated total energy: -36.12 eV per formula unit

No. 21
## Rb3Nd2PbS6 (GGA-PBE)

Data for a relaxed Rb3Nd2PbS6 crystal.

abc: 7.322 7.322 8.099
angles: 98.65 98.65 120.00
Fractional positions:
Rb1 0.000 0.000 0.000
Rb2 0.335 0.665 0.000
Rb3 0.665 0.335 0.000
Nd1 0.167 0.833 0.500
Nd2 0.833 0.167 0.500
Pb1 0.500 0.500 0.500
S1 0.096 0.434 0.301
S2 0.229 0.229 0.699
S3 0.434 0.096 0.301
S4 0.566 0.904 0.699
S5 0.771 0.771 0.301
S6 0.904 0.566 0.699

Output
calculated total energy: -57.85 eV per formula unit
E_form (uncorrected): -32.55 kcal/mol of atoms

No. 22
## NiAgAs2 (GGA-PBE)

Data for a relaxed NiAgAs2 crystal.

abc: 4.258 3.199 5.306
angles: 90.00 111.35 90.00
Fractional positions:
Ni1 0.000 0.000 0.000
Ag1 0.500 0.500 0.500
As1 0.000 0.000 0.500
As2 0.500 0.500 0.000

Output
E_form: 0.86 eV/f.u.
calculated total energy: -17.07 eV per formula unit

No. 23
## Ca2ZnCdRh (GGA-PBE)

Data for a relaxed Ca2ZnCdRh crystal.

abc: 5.391 5.391 4.875
angles: 90.00 90.00 90.00
Fractional positions:
Ca1 0.000 0.500 0.000
Ca2 0.500 0.000 0.000
Zn1 0.000 0.000 0.500
Cd1 0.500 0.500 0.500
Rh1 0.000 0.000 0.000

Output
E_form: -0.95 eV/f.u.
calculated total energy: -14.50 eV per formula unit

No. 24
## Nd3Ge3Pd2 (GGA-PBE)

Data for a relaxed Nd3Ge3Pd2 crystal.

abc: 5.840 5.840 14.900
angles: 90.00 90.00 135.36
Fractional positions:
Nd1 0.094 0.906 0.608
Nd2 0.094 0.906 0.892
Nd3 0.370 0.630 0.750
Nd4 0.630 0.370 0.250
Nd5 0.906 0.094 0.108
Nd6 0.906 0.094 0.392
Ge1 0.336 0.664 0.250
Ge2 0.390 0.610 0.539
Ge3 0.390 0.610 0.961
Ge4 0.610 0.390 0.039
Ge5 0.610 0.390 0.461
Ge6 0.664 0.336 0.750
Pd1 0.198 0.802 0.100
Pd2 0.198 0.802 0.400
Pd3 0.802 0.198 0.600
Pd4 0.802 0.198 0.900

Output
E_form: -7.24 eV/f.u.
calculated total energy: -45.78 eV per formula unit